# 1
The following is a GGA-PBE calculation of a relaxed Sc6CdPd12 crystal, from Alexandria.

Final energy ... -115.376 eV/cell
Formation energy from the elements ... -745.2 meV/atom
DOS(E_F) ... 0.43 states/eV per atom

Cell lengths 7.6569, 7.6569, 7.6569 Å; angles 111.00, 111.00, 111.00 degrees
Last column: nearest neighbours and their distance in Å.
Fractional coordinates of all 19 atoms:
Pd 0.6725 0.5230 0.7943  3 Sc 2.67-2.72, 6 Pd 2.82-2.97, 1 Cd 2.93
Pd 0.1740 0.7398 0.1129  5 Sc 2.77-2.97, 6 Pd 2.82-3.04, 1 Cd 2.97
Pd 0.7943 0.6725 0.5230  3 Sc 2.67-2.72, 6 Pd 2.82-2.97, 1 Cd 2.93
Pd 0.7398 0.1129 0.1740  5 Sc 2.77-2.97, 6 Pd 2.82-3.04, 1 Cd 2.97
Pd 0.2057 0.3275 0.4770  3 Sc 2.67-2.72, 6 Pd 2.82-2.97, 1 Cd 2.93
Pd 0.5230 0.7943 0.6725  3 Sc 2.67-2.72, 6 Pd 2.82-2.97, 1 Cd 2.93
Pd 0.4770 0.2057 0.3275  3 Sc 2.67-2.72, 6 Pd 2.82-2.97, 1 Cd 2.93
Pd 0.8260 0.2602 0.8871  5 Sc 2.77-2.97, 6 Pd 2.82-3.04, 1 Cd 2.97
Pd 0.3275 0.4770 0.2057  3 Sc 2.67-2.72, 6 Pd 2.82-2.97, 1 Cd 2.93
Pd 0.8871 0.8260 0.2602  5 Sc 2.77-2.97, 6 Pd 2.82-3.04, 1 Cd 2.97
Pd 0.2602 0.8871 0.8260  5 Sc 2.77-2.97, 6 Pd 2.82-3.04, 1 Cd 2.97
Pd 0.1129 0.1740 0.7398  5 Sc 2.77-2.97, 6 Pd 2.82-3.04, 1 Cd 2.97
Sc 0.0784 0.5697 0.3551  8 Pd 2.67-2.97
Sc 0.6449 0.9216 0.4303  8 Pd 2.67-2.97
Sc 0.4303 0.6449 0.9216  8 Pd 2.67-2.97
Sc 0.5697 0.3551 0.0784  8 Pd 2.67-2.97
Sc 0.3551 0.0784 0.5697  8 Pd 2.67-2.97
Sc 0.9216 0.4303 0.6449  8 Pd 2.67-2.97
Cd 0.0000 0.0000 0.0000  12 Pd 2.93-2.97

---

# 2
The following is a GGA-PBE calculation of a relaxed ScCdPd4 crystal, from Alexandria.

Final energy ... -31.568 eV/cell
Formation energy from the elements ... -591.7 meV/atom
DOS(E_F) ... 0.42 states/eV per atom

Cell lengths 3.8060, 5.0652, 6.5020 Å; angles 105.63, 72.98, 67.93 degrees
Last column: nearest neighbours and their distance in Å.
Fractional coordinates of all 6 atoms:
Pd 0.6686 0.9964 0.6663  2 Cd 2.81, 7 Pd 2.82-3.03, 3 Sc 2.84-2.96
Pd 0.1621 0.5012 0.1746  2 Sc 2.78, 3 Cd 2.85-2.97, 7 Pd 2.86-3.03
Pd 0.3314 0.0036 0.3337  2 Cd 2.81, 7 Pd 2.82-3.03, 3 Sc 2.84-2.96
Pd 0.8379 0.4988 0.8254  2 Sc 2.78, 3 Cd 2.85-2.97, 7 Pd 2.86-3.03
Cd 0.0000 0.0000 0.0000  10 Pd 2.81-2.97, 2 Sc 2.99
Sc 0.5000 0.5000 0.5000  10 Pd 2.78-2.96, 2 Cd 2.99

---

# 3
The following is a GGA-PBE calculation of a relaxed Sc2CdSnPd4 crystal, from Alexandria.

Final energy ... -44.773 eV/cell
Formation energy from the elements ... -802.5 meV/atom
DOS(E_F) ... 0.50 states/eV per atom

Cell lengths 4.6422, 4.6422, 8.0546 Å; angles 73.25, 73.25, 60.00 degrees
Last column: nearest neighbours and their distance in Å.
Fractional coordinates of all 8 atoms:
Sc 0.7482 0.7482 0.7553  8 Pd 2.82-2.87
Sc 0.2518 0.2518 0.2447  8 Pd 2.82-2.87
Pd 0.3761 0.3761 0.8716  4 Sc 2.82-2.83, 1 Sn 2.82, 3 Cd 2.85
Pd 0.6239 0.6239 0.1284  4 Sc 2.82-2.83, 1 Sn 2.82, 3 Cd 2.85
Pd 0.1267 0.1267 0.6200  3 Sn 2.83, 4 Sc 2.85-2.87, 1 Cd 2.89
Pd 0.8733 0.8733 0.3800  3 Sn 2.83, 4 Sc 2.85-2.87, 1 Cd 2.89
Sn 0.5000 0.5000 0.5000  8 Pd 2.82-2.83
Cd 0.0000 0.0000 0.0000  8 Pd 2.85-2.89

---

# 4
The following is a GGA-PBE calculation of a relaxed ScCdSnPd crystal, from Alexandria.

Final energy ... -18.216 eV/cell
Formation energy from the elements ... -443.5 meV/atom
DOS(E_F) ... 0.63 states/eV per atom

Cell lengths 4.8424, 4.8424, 4.8424 Å; angles 60.00, 60.00, 60.00 degrees
Last column: nearest neighbours and their distance in Å.
Fractional coordinates of all 4 atoms:
Sn 0.7500 0.7500 0.7500  4 Sc 2.97, 4 Cd 2.97
Pd 0.2500 0.2500 0.2500  4 Cd 2.97, 4 Sc 2.97
Cd 0.5000 0.5000 0.5000  4 Sn 2.97, 4 Pd 2.97
Sc 0.0000 0.0000 0.0000  4 Sn 2.97, 4 Pd 2.97

---

# 5
The following is a GGA-PBE calculation of a relaxed ScTlCdPd crystal, from Alexandria.

Final energy ... -16.234 eV/cell
Formation energy from the elements ... -357.0 meV/atom
DOS(E_F) ... 0.25 states/eV per atom

Cell lengths 4.8527, 4.8527, 4.8527 Å; angles 60.00, 60.00, 60.00 degrees
Last column: nearest neighbours and their distance in Å.
Fractional coordinates of all 4 atoms:
Pd 0.5000 0.5000 0.5000  4 Cd 2.97, 4 Sc 2.97
Sc 0.2500 0.2500 0.2500  4 Tl 2.97, 4 Pd 2.97
Cd 0.7500 0.7500 0.7500  4 Tl 2.97, 4 Pd 2.97
Tl 0.0000 0.0000 0.0000  4 Cd 2.97, 4 Sc 2.97

---

# 6
The following is a GGA-PBE calculation of a relaxed Sc4Tl2CdPd crystal, from Alexandria.

Final energy ... -39.539 eV/cell
Formation energy from the elements ... -421.6 meV/atom
DOS(E_F) ... 0.65 states/eV per atom

Cell lengths 4.9796, 4.9796, 8.5632 Å; angles 73.10, 73.10, 60.00 degrees
Last column: nearest neighbours and their distance in Å.
Fractional coordinates of all 8 atoms:
Cd 0.0000 0.0000 0.0000  8 Sc 3.11-3.14, 6 Tl 3.46
Sc 0.1297 0.1297 0.6110  4 Tl 3.01-3.12, 3 Pd 3.01, 1 Cd 3.14
Sc 0.6180 0.6180 0.1461  1 Pd 2.85, 4 Tl 2.97-3.10, 3 Cd 3.11
Sc 0.3820 0.3820 0.8539  1 Pd 2.85, 4 Tl 2.97-3.10, 3 Cd 3.11
Sc 0.8703 0.8703 0.3890  4 Tl 3.01-3.12, 3 Pd 3.01, 1 Cd 3.14
Tl 0.2540 0.2540 0.2380  8 Sc 2.97-3.12
Tl 0.7460 0.7460 0.7620  8 Sc 2.97-3.12
Pd 0.5000 0.5000 0.5000  8 Sc 2.85-3.01

---

# 7
The following is a GGA-PBE calculation of a relaxed TmSc2CdPd4 crystal, from Alexandria.

Final energy ... -45.328 eV/cell
Formation energy from the elements ... -813.4 meV/atom
DOS(E_F) ... 0.70 states/eV per atom

Cell lengths 4.7172, 4.7172, 8.1794 Å; angles 73.24, 73.24, 60.00 degrees
Last column: nearest neighbours and their distance in Å.
Fractional coordinates of all 8 atoms:
Sc 0.2444 0.2444 0.2667  8 Pd 2.83-2.99
Sc 0.7556 0.7556 0.7333  8 Pd 2.83-2.99
Pd 0.3736 0.3736 0.8793  3 Tm 2.88, 1 Cd 2.93, 4 Sc 2.95-2.99
Pd 0.1218 0.1218 0.6347  1 Tm 2.82, 4 Sc 2.83-2.84, 3 Cd 2.91
Pd 0.6264 0.6264 0.1207  3 Tm 2.88, 1 Cd 2.93, 4 Sc 2.95-2.99
Pd 0.8782 0.8782 0.3653  1 Tm 2.82, 4 Sc 2.83-2.84, 3 Cd 2.91
Tm 0.0000 0.0000 0.0000  8 Pd 2.82-2.88
Cd 0.5000 0.5000 0.5000  8 Pd 2.91-2.93, 6 Sc 3.26

---

# 8
The following is a GGA-PBE calculation of a relaxed YScCdPd crystal, from Alexandria.

Final energy ... -21.025 eV/cell
Formation energy from the elements ... -530.4 meV/atom
DOS(E_F) ... 0.71 states/eV per atom

Cell lengths 4.9974, 4.9974, 4.9974 Å; angles 60.00, 60.00, 60.00 degrees
Last column: nearest neighbours and their distance in Å.
Fractional coordinates of all 4 atoms:
Pd 0.5000 0.5000 0.5000  4 Y 3.06, 4 Sc 3.06
Y 0.7500 0.7500 0.7500  4 Cd 3.06, 4 Pd 3.06
Cd 0.0000 0.0000 0.0000  4 Y 3.06, 4 Sc 3.06
Sc 0.2500 0.2500 0.2500  4 Cd 3.06, 4 Pd 3.06

---

# 9
The following is a GGA-PBE calculation of a relaxed YSc2CdPd4 crystal, from Alexandria.

Final energy ... -47.051 eV/cell
Formation energy from the elements ... -779.7 meV/atom
DOS(E_F) ... 0.72 states/eV per atom

Cell lengths 4.7338, 4.7338, 8.2395 Å; angles 73.31, 73.31, 60.00 degrees
Last column: nearest neighbours and their distance in Å.
Fractional coordinates of all 8 atoms:
Pd 0.6242 0.6242 0.1274  1 Cd 2.90, 3 Y 2.91, 4 Sc 2.95-3.08
Pd 0.3758 0.3758 0.8726  1 Cd 2.90, 3 Y 2.91, 4 Sc 2.95-3.08
Pd 0.8771 0.8771 0.3686  4 Sc 2.82-2.84, 1 Y 2.86, 3 Cd 2.92
Pd 0.1229 0.1229 0.6314  4 Sc 2.82-2.84, 1 Y 2.86, 3 Cd 2.92
Y 0.0000 0.0000 0.0000  8 Pd 2.86-2.91
Sc 0.2437 0.2437 0.2688  8 Pd 2.82-3.08
Sc 0.7563 0.7563 0.7312  8 Pd 2.82-3.08
Cd 0.5000 0.5000 0.5000  8 Pd 2.90-2.92

---

# 10
The following is a GGA-PBE calculation of a relaxed ScZn2CdPd2 crystal, from Alexandria.

Final energy ... -23.168 eV/cell
Formation energy from the elements ... -498.0 meV/atom
DOS(E_F) ... 0.43 states/eV per atom

Cell lengths 4.4750, 4.4750, 5.8500 Å; angles 90.00, 90.00, 120.00 degrees
Last column: nearest neighbours and their distance in Å.
Fractional coordinates of all 6 atoms:
Sc 0.0000 0.0000 0.5000  6 Zn 2.92, 2 Cd 2.93, 6 Pd 3.04
Pd 0.6667 0.3333 0.7724  4 Zn 2.60-2.91
Pd 0.3333 0.6667 0.2276  4 Zn 2.60-2.91
Cd 0.0000 0.0000 0.0000  6 Pd 2.91, 2 Sc 2.93, 6 Zn 3.03
Zn 0.6667 0.3333 0.2692  4 Pd 2.60-2.91
Zn 0.3333 0.6667 0.7308  4 Pd 2.60-2.91

---

# 11
The following is a GGA-PBE calculation of a relaxed Sc4Zn2CdPd crystal, from Alexandria.

Final energy ... -37.735 eV/cell
Formation energy from the elements ... -469.1 meV/atom
DOS(E_F) ... 0.97 states/eV per atom

Cell lengths 4.7989, 4.7989, 8.2905 Å; angles 73.18, 73.18, 60.00 degrees
Last column: nearest neighbours and their distance in Å.
Fractional coordinates of all 8 atoms:
Zn 0.2540 0.2540 0.2378  8 Sc 2.87-3.01
Zn 0.7460 0.7460 0.7622  8 Sc 2.87-3.01
Sc 0.3809 0.3809 0.8574  1 Pd 2.79, 4 Zn 2.87-2.97, 3 Cd 2.99
Sc 0.1295 0.1295 0.6115  3 Pd 2.90, 4 Zn 2.92-3.01, 1 Cd 3.04
Sc 0.6191 0.6191 0.1426  1 Pd 2.79, 4 Zn 2.87-2.97, 3 Cd 2.99
Sc 0.8705 0.8705 0.3885  3 Pd 2.90, 4 Zn 2.92-3.01, 1 Cd 3.04
Cd 0.0000 0.0000 0.0000  8 Sc 2.99-3.04, 6 Zn 3.34
Pd 0.5000 0.5000 0.5000  8 Sc 2.79-2.90

---

# 12
The following is a GGA-PBE calculation of a relaxed Sc4ZnCdPd2 crystal, from Alexandria.

Final energy ... -42.576 eV/cell
Formation energy from the elements ... -584.3 meV/atom
DOS(E_F) ... 0.64 states/eV per atom

Cell lengths 4.7761, 4.7761, 8.2616 Å; angles 73.20, 73.20, 60.00 degrees
Last column: nearest neighbours and their distance in Å.
Fractional coordinates of all 8 atoms:
Zn 0.5000 0.5000 0.5000  8 Sc 2.84-2.90
Sc 0.3786 0.3786 0.8641  1 Zn 2.84, 4 Pd 2.89-2.98, 3 Cd 2.95
Sc 0.6214 0.6214 0.1359  1 Zn 2.84, 4 Pd 2.89-2.98, 3 Cd 2.95
Sc 0.1285 0.1285 0.6146  4 Pd 2.86-2.96, 3 Zn 2.90, 1 Cd 3.00
Sc 0.8715 0.8715 0.3854  4 Pd 2.86-2.96, 3 Zn 2.90, 1 Cd 3.00
Cd 0.0000 0.0000 0.0000  8 Sc 2.95-3.00
Pd 0.2509 0.2509 0.2472  8 Sc 2.86-2.98
Pd 0.7491 0.7491 0.7528  8 Sc 2.86-2.98

---

# 13
The following is a GGA-PBE calculation of a relaxed ZrScCdPd crystal, from Alexandria.

Final energy ... -22.473 eV/cell
Formation energy from the elements ... -371.3 meV/atom
DOS(E_F) ... 1.28 states/eV per atom

Cell lengths 4.8535, 4.8535, 4.8535 Å; angles 60.00, 60.00, 60.00 degrees
Last column: nearest neighbours and their distance in Å.
Fractional coordinates of all 4 atoms:
Cd 0.7500 0.7500 0.7500  4 Zr 2.97, 4 Sc 2.97
Pd 0.2500 0.2500 0.2500  4 Zr 2.97, 4 Sc 2.97
Zr 0.5000 0.5000 0.5000  4 Cd 2.97, 4 Pd 2.97
Sc 0.0000 0.0000 0.0000  4 Cd 2.97, 4 Pd 2.97

---

# 14
The following is a GGA-PBE calculation of a relaxed Cd2PdSe2 crystal, from Alexandria.

Uncorrected formation energy ... -17.6 kJ per mole of atoms
Final energy ... -29.811 eV/cell
DOS(E_F) ... 0.58 states/eV per atom

Cell lengths 7.3575, 7.3575, 4.0994 Å; angles 90.00, 90.00, 90.00 degrees
Last column: nearest neighbours and their distance in Å.
Fractional coordinates of all 10 atoms:
Cd 0.1379 0.6379 0.5000  2 Se 2.72, 1 Cd 2.87
Cd 0.6379 0.8621 0.5000  2 Se 2.72, 1 Cd 2.87
Cd 0.8621 0.3621 0.5000  2 Se 2.72, 1 Cd 2.87
Cd 0.3621 0.1379 0.5000  2 Se 2.72, 1 Cd 2.87
Se 0.3099 0.8099 0.0000  2 Pd 2.68, 2 Cd 2.72
Se 0.8099 0.6901 0.0000  2 Pd 2.68, 2 Cd 2.72
Se 0.6901 0.1901 0.0000  2 Pd 2.68, 2 Cd 2.72
Se 0.1901 0.3099 0.0000  2 Pd 2.68, 2 Cd 2.72
Pd 0.5000 0.5000 0.0000  4 Se 2.68
Pd 0.0000 0.0000 0.0000  4 Se 2.68

---

# 15
The following is a GGA-PBE calculation of a relaxed CdPd4Se crystal, from Alexandria.

Uncorrected formation energy ... -18.8 kJ per mole of atoms
Final energy ... -52.675 eV/cell
DOS(E_F) ... 0.44 states/eV per atom

Cell lengths 4.6690, 5.7582, 8.7887 Å; angles 90.00, 105.48, 90.00 degrees
Last column: nearest neighbours and their distance in Å.
Fractional coordinates of all 12 atoms:
Se 0.4136 0.2951 0.8246  6 Pd 2.44-2.53
Se 0.5864 0.7951 0.1754  6 Pd 2.44-2.53
Cd 0.1493 0.3206 0.2993  10 Pd 2.82-2.99
Cd 0.8507 0.8206 0.7007  10 Pd 2.82-2.99
Pd 0.3033 0.5769 0.6058  1 Se 2.46
Pd 0.1444 0.8135 0.2908  2 Se 2.53
Pd 0.5540 0.3673 0.1088  2 Se 2.44-2.53
Pd 0.7088 0.5600 0.4184  1 Se 2.46
Pd 0.8556 0.3135 0.7092  2 Se 2.53
Pd 0.6967 0.0769 0.3942  1 Se 2.46
Pd 0.2912 0.0600 0.5816  1 Se 2.46
Pd 0.4460 0.8673 0.8912  2 Se 2.44-2.53

---

# 16
The following is a GGA-PBE calculation of a relaxed Cd2PdSe crystal, from Alexandria.

Uncorrected formation energy ... 0.8 kJ per mole of atoms
Final energy ... -20.946 eV/cell
DOS(E_F) ... 0.00 states/eV per atom

Cell lengths 6.3413, 6.3413, 7.3842 Å; angles 64.57, 64.57, 90.00 degrees
Last column: nearest neighbours and their distance in Å.
Fractional coordinates of all 8 atoms:
Se 0.2500 0.7500 0.5000  4 Cd 2.68
Se 0.5000 0.5000 0.0000  4 Cd 2.68
Pd 0.0000 0.0000 0.0000  4 Cd 2.68
Pd 0.7500 0.2500 0.5000  4 Cd 2.68
Cd 0.6255 0.1250 0.2500  2 Pd 2.68, 2 Se 2.68
Cd 0.8750 0.8755 0.7500  2 Pd 2.68, 2 Se 2.68
Cd 0.1245 0.6250 0.2500  2 Pd 2.68, 2 Se 2.68
Cd 0.3750 0.3745 0.7500  2 Pd 2.68, 2 Se 2.68

---

# 17
The following is a GGA-PBE calculation of a relaxed CdPd7Se2 crystal, from Alexandria.

Uncorrected formation energy ... -20.6 kJ per mole of atoms
Final energy ... -46.368 eV/cell
DOS(E_F) ... 0.77 states/eV per atom

Cell lengths 4.1114, 4.1114, 10.6352 Å; angles 101.15, 101.15, 90.00 degrees
Last column: nearest neighbours and their distance in Å.
Fractional coordinates of all 10 atoms:
Pd 0.9020 0.4020 0.8040  2 Se 2.54
Pd 0.5980 0.0980 0.1960  2 Se 2.54
Pd 0.4020 0.9020 0.8040  2 Se 2.54
Pd 0.7500 0.2500 0.5000  4 Se 2.62, 4 Pd 2.91
Pd 0.0980 0.5980 0.1960  2 Se 2.54
Pd 0.2500 0.7500 0.5000  4 Se 2.62, 4 Pd 2.91
Pd 0.5000 0.5000 0.0000  8 Pd 2.87, 4 Cd 2.91
Se 0.6706 0.6706 0.3412  8 Pd 2.54-2.62
Se 0.3294 0.3294 0.6588  8 Pd 2.54-2.62
Cd 0.0000 0.0000 0.0000  12 Pd 2.87-2.91

---

# 18
The following is a GGA-PBE calculation of a relaxed Cd2PdSe2 crystal, from Alexandria.

Uncorrected formation energy ... 11.2 kJ per mole of atoms
Final energy ... -13.414 eV/cell
DOS(E_F) ... 0.40 states/eV per atom

Cell lengths 4.2892, 4.2892, 7.2451 Å; angles 72.78, 72.78, 90.00 degrees
Last column: nearest neighbours and their distance in Å.
Fractional coordinates of all 5 atoms:
Se 0.6173 0.6173 0.7654  4 Cd 2.77, 1 Se 3.09
Se 0.3827 0.3827 0.2346  4 Cd 2.77, 1 Se 3.09
Cd 0.2500 0.7500 0.5000  4 Se 2.77, 4 Cd 3.03
Cd 0.7500 0.2500 0.5000  4 Se 2.77, 4 Cd 3.03
Pd 0.0000 0.0000 0.0000  8 Se 3.40

---

# 19
The following is a GGA-PBE calculation of a relaxed Cd2Pd4Se crystal, from Alexandria.

Uncorrected formation energy ... 6.9 kJ per mole of atoms
Final energy ... -25.589 eV/cell
DOS(E_F) ... 0.37 states/eV per atom

Cell lengths 4.6213, 4.6213, 7.7305 Å; angles 72.61, 72.61, 90.00 degrees
Last column: nearest neighbours and their distance in Å.
Fractional coordinates of all 7 atoms:
Pd 0.1741 0.1741 0.6519  1 Se 2.44, 1 Cd 2.67
Pd 0.0000 0.5000 0.0000  2 Se 2.31
Pd 0.5000 0.0000 0.0000  2 Se 2.31
Pd 0.8259 0.8259 0.3481  1 Se 2.44, 1 Cd 2.67
Cd 0.6353 0.6353 0.7294  5 Pd 2.67-2.99
Cd 0.3647 0.3647 0.2706  5 Pd 2.67-2.99
Se 0.0000 0.0000 0.0000  6 Pd 2.31-2.44

---

# 20
The following is a GGA-PBE calculation of a relaxed Cd3PdSe crystal, from Alexandria.

Uncorrected formation energy ... 11.9 kJ per mole of atoms
Final energy ... -10.807 eV/cell
DOS(E_F) ... 0.57 states/eV per atom

Cell lengths 5.1497, 5.1497, 5.1497 Å; angles 90.00, 90.00, 90.00 degrees
Last column: nearest neighbours and their distance in Å.
Fractional coordinates of all 5 atoms:
Cd 0.0000 0.5000 0.0000  2 Pd 2.57
Cd 0.5000 0.0000 0.0000  2 Pd 2.57
Cd 0.0000 0.0000 0.5000  2 Pd 2.57
Se 0.5000 0.5000 0.5000  12 Cd 3.64
Pd 0.0000 0.0000 0.0000  6 Cd 2.57